Record 1
DFT (GGA-PBE) results for a relaxed Cs3Hf2P5S18 crystal.

Lattice parameters (Å, degrees): 6.918 6.918 34.301 93.15 93.15 93.20
Positions (direct):
S1 0.301 0.658 0.789
S2 0.706 0.776 0.464
S3 0.425 0.342 0.975
S4 0.491 0.989 0.033
S5 0.727 0.077 0.669
S6 0.262 0.812 0.329
S7 0.779 0.315 0.450
S8 0.989 0.491 0.533
S9 0.502 0.523 0.384
S10 0.881 0.249 0.928
S11 0.077 0.727 0.169
S12 0.342 0.425 0.475
S13 0.837 0.877 0.588
S14 0.194 0.184 0.155
S15 0.955 0.860 0.729
S16 0.307 0.671 0.689
S17 0.249 0.881 0.428
S18 0.827 0.519 0.643
S19 0.671 0.307 0.189
S20 0.141 0.919 0.513
S21 0.519 0.827 0.143
S22 0.315 0.779 0.950
S23 0.765 0.277 0.102
S24 0.776 0.706 0.964
S25 0.508 0.016 0.890
S26 0.812 0.262 0.829
S27 0.523 0.502 0.884
S28 0.860 0.955 0.229
S29 0.016 0.508 0.390
S30 0.877 0.837 0.088
S31 0.980 0.379 0.735
S32 0.277 0.765 0.602
S33 0.379 0.980 0.235
S34 0.919 0.141 0.013
S35 0.658 0.301 0.289
S36 0.184 0.194 0.655
P1 0.693 0.247 0.880
P2 0.763 0.060 0.059
P3 0.513 0.575 0.945
P4 0.247 0.693 0.380
P5 0.932 0.301 0.674
P6 0.575 0.513 0.445
P7 0.060 0.763 0.559
P8 0.655 0.151 0.238
P9 0.301 0.932 0.174
P10 0.151 0.655 0.738
Hf1 0.025 0.846 0.655
Hf2 0.040 0.626 0.464
Hf3 0.846 0.025 0.155
Hf4 0.626 0.040 0.964
Cs1 0.276 0.497 0.068
Cs2 0.439 0.154 0.755
Cs3 0.976 0.782 0.863
Cs4 0.497 0.276 0.568
Cs5 0.782 0.976 0.363
Cs6 0.154 0.439 0.255

Results
Crystal system: monoclinic
Total DFT energy (no corrections) in eV per cell: -293.01



Record 2
DFT (GGA-PBE) results for a relaxed CsHfPd crystal.

Lattice parameters (Å, degrees): 5.048 5.048 5.048 60.00 60.00 60.00
Positions (direct):
Hf1 0.750 0.750 0.750
Pd1 0.000 0.000 0.000
Cs1 0.250 0.250 0.250

Results
Crystal system: cubic
Offset from the most stable computed form in kJ per mole of atoms: 0.0



Record 3
DFT (GGA-PBE) results for a relaxed CsHfPd crystal.

Lattice parameters (Å, degrees): 4.814 4.814 4.814 60.00 60.00 60.00
Positions (direct):
Pd1 0.750 0.750 0.750
Hf1 0.250 0.250 0.250
Cs1 0.000 0.000 0.000

Results
Crystal system: cubic
Offset from the most stable computed form in kJ per mole of atoms: 59.8



Record 4
DFT (GGA-PBE) results for a relaxed CsHfTe3Pd crystal.

Lattice parameters (Å, degrees): 9.129 9.129 10.783 90.00 90.00 154.42
Positions (direct):
Te1 0.115 0.885 0.955
Te2 0.885 0.115 0.045
Te3 0.115 0.885 0.545
Te4 0.885 0.115 0.455
Te5 0.568 0.432 0.250
Te6 0.432 0.568 0.750
Cs1 0.745 0.255 0.750
Cs2 0.255 0.745 0.250
Hf1 0.500 0.500 0.500
Hf2 0.500 0.500 0.000
Pd1 0.029 0.971 0.750
Pd2 0.971 0.029 0.250

Results
Crystal system: orthorhombic
Total DFT energy (no corrections) in eV per cell: -60.43



Record 5
DFT (GGA-PBE) results for a relaxed CsPmHf crystal.

Lattice parameters (Å, degrees): 5.740 5.740 5.740 60.00 60.00 60.00
Positions (direct):
Hf1 0.000 0.000 0.000
Pm1 0.750 0.750 0.750
Cs1 0.250 0.250 0.250

Results
Crystal system: cubic
Offset from the most stable computed form in kJ per mole of atoms: 0.0



Record 6
DFT (GGA-PBE) results for a relaxed CsHfRe crystal.

Lattice parameters (Å, degrees): 4.813 4.813 4.813 60.00 60.00 60.00
Positions (direct):
Cs1 0.250 0.250 0.250
Hf1 0.000 0.000 0.000
Re1 0.750 0.750 0.750

Results
Crystal system: cubic
Offset from the most stable computed form in kJ per mole of atoms: 0.0



Record 7
DFT (GGA-PBE) results for a relaxed CsHfRe crystal.

Lattice parameters (Å, degrees): 4.678 4.678 4.678 60.00 60.00 60.00
Positions (direct):
Re1 0.750 0.750 0.750
Cs1 0.000 0.000 0.000
Hf1 0.250 0.250 0.250

Results
Crystal system: cubic
Offset from the most stable computed form in kJ per mole of atoms: 74.1



Record 8
DFT (GGA-PBE) results for a relaxed Cs2HfReS6 crystal.

Lattice parameters (Å, degrees): 6.950 6.950 6.950 59.94 59.94 59.94
Positions (direct):
S1 0.758 0.243 0.242
S2 0.243 0.758 0.758
S3 0.243 0.242 0.758
S4 0.242 0.758 0.243
S5 0.758 0.243 0.758
S6 0.758 0.758 0.243
Re1 0.000 0.000 0.000
Hf1 0.500 0.500 0.500
Cs1 0.751 0.751 0.751
Cs2 0.250 0.250 0.250

Results
Crystal system: trigonal
Total DFT energy (no corrections) in eV per cell: -56.49